(1)
# RbZnCr2

A relaxed structure of RbZnCr2 (PBE-GGA, the Alexandria database).

Cell lengths 5.690, 5.690, 17.838 Å; angles 90.00, 90.00, 90.00 degrees
Fractional coordinates of all 16 atoms:
1 Rb 0.000 0.250 0.375
2 Rb 0.000 0.750 0.625
3 Rb 0.500 0.250 0.125
4 Rb 0.500 0.750 0.875
5 Zn 0.000 0.250 0.875
6 Zn 0.000 0.750 0.125
7 Zn 0.500 0.250 0.625
8 Zn 0.500 0.750 0.375
9 Cr 0.000 0.000 0.000
10 Cr 0.000 0.500 0.000
11 Cr 0.250 0.250 0.750
12 Cr 0.250 0.750 0.250
13 Cr 0.500 0.000 0.500
14 Cr 0.500 0.500 0.500
15 Cr 0.750 0.250 0.750
16 Cr 0.750 0.750 0.250

For the uncorrected energy, the calculation gives -0.1560 hartree per atom. Its symmetry is No. 141. For the total magnetization, the calculation gives 38.3 μB per cell. The calculation puts the formation energy at 1.13 eV per atom.

(2)
# CuSbRuRh

A relaxed structure of CuSbRuRh (PBE-GGA, the Alexandria database).

Cell lengths 6.211, 6.211, 6.211 Å; angles 90.00, 90.00, 90.00 degrees
Fractional coordinates of all 16 atoms:
1 Cu 0.000 0.000 0.000
2 Cu 0.000 0.500 0.500
3 Cu 0.500 0.000 0.500
4 Cu 0.500 0.500 0.000
5 Sb 0.000 0.000 0.500
6 Sb 0.000 0.500 0.000
7 Sb 0.500 0.000 0.000
8 Sb 0.500 0.500 0.500
9 Ru 0.250 0.250 0.250
10 Ru 0.250 0.750 0.750
11 Ru 0.750 0.250 0.750
12 Ru 0.750 0.750 0.250
13 Rh 0.250 0.250 0.750
14 Rh 0.250 0.750 0.250
15 Rh 0.750 0.250 0.250
16 Rh 0.750 0.750 0.750

For the uncorrected energy, the calculation gives -0.2336 hartree per atom. For the raw formation energy, the calculation gives -14.0 kJ/mol of atoms. Its symmetry is No. 216. For the total magnetization, the calculation gives 0.0 μB per cell.

(3)
# Pr2Y2Ir3

A relaxed structure of Pr2Y2Ir3 (PBE-GGA, the Alexandria database).

Cell lengths 7.604, 7.604, 7.604 Å; angles 109.47, 109.47, 109.47 degrees
Fractional coordinates of all 14 atoms:
1 Pr 0.000 0.369 0.500
2 Pr 0.131 0.131 0.131
3 Pr 0.369 0.500 0.000
4 Pr 0.500 0.000 0.369
5 Y 0.000 0.878 0.500
6 Y 0.500 0.000 0.878
7 Y 0.622 0.622 0.622
8 Y 0.878 0.500 0.000
9 Ir 0.101 0.750 0.851
10 Ir 0.250 0.649 0.399
11 Ir 0.399 0.250 0.649
12 Ir 0.649 0.399 0.250
13 Ir 0.750 0.851 0.101
14 Ir 0.851 0.101 0.750

For the uncorrected energy, the calculation gives -0.2808 hartree per atom. Its symmetry is No. 199. For the total magnetization, the calculation gives 0.0 μB per cell. The calculation puts the formation energy at -0.63 eV per atom.

(4)
# Ac2TbSmDy

A relaxed structure of Ac2TbSmDy (PBE-GGA, the Alexandria database).

Cell lengths 6.424, 8.984, 6.723 Å; angles 90.00, 90.00, 90.00 degrees
Fractional coordinates of all 10 atoms:
1 Ac 0.250 0.203 0.209
2 Ac 0.250 0.797 0.209
3 Ac 0.750 0.203 0.791
4 Ac 0.750 0.797 0.791
5 Tb 0.250 0.000 0.679
6 Tb 0.750 0.000 0.321
7 Sm 0.250 0.500 0.918
8 Sm 0.750 0.500 0.082
9 Dy 0.000 0.500 0.500
10 Dy 0.500 0.500 0.500

For the uncorrected energy, the calculation gives -0.1528 hartree per atom. Its symmetry is No. 51. For the total magnetization, the calculation gives 0.0 μB per cell. The calculation puts the formation energy at 0.28 eV per atom.

(5)
# PrEr2ZrSc4

A relaxed structure of PrEr2ZrSc4 (PBE-GGA, the Alexandria database).

Cell lengths 4.791, 4.791, 9.351 Å; angles 90.00, 90.00, 90.00 degrees
Fractional coordinates of all 8 atoms:
1 Pr 0.000 0.000 0.000
2 Er 0.000 0.000 0.500
3 Er 0.500 0.500 0.000
4 Zr 0.500 0.500 0.500
5 Sc 0.000 0.500 0.264
6 Sc 0.000 0.500 0.736
7 Sc 0.500 0.000 0.264
8 Sc 0.500 0.000 0.736

For the uncorrected energy, the calculation gives -0.2173 hartree per atom. Its symmetry is No. 123. For the total magnetization, the calculation gives 0.0 μB per cell. The calculation puts the formation energy at 0.06 eV per atom.

(6)
# ErPuB4

A relaxed structure of ErPuB4 (PBE-GGA, the Alexandria database).

Cell lengths 6.147, 11.938, 3.952 Å; angles 90.00, 90.00, 90.00 degrees
Fractional coordinates of all 24 atoms:
1 Er 0.118 0.158 0.000
2 Er 0.382 0.658 0.000
3 Er 0.618 0.342 0.000
4 Er 0.882 0.842 0.000
5 Pu 0.127 0.420 0.000
6 Pu 0.373 0.920 0.000
7 Pu 0.627 0.080 0.000
8 Pu 0.873 0.580 0.000
9 B 0.031 0.697 0.500
10 B 0.127 0.972 0.500
11 B 0.135 0.557 0.500
12 B 0.207 0.813 0.500
13 B 0.293 0.313 0.500
14 B 0.365 0.057 0.500
15 B 0.373 0.472 0.500
16 B 0.469 0.197 0.500
17 B 0.531 0.803 0.500
18 B 0.627 0.528 0.500
19 B 0.635 0.943 0.500
20 B 0.707 0.687 0.500
21 B 0.793 0.187 0.500
22 B 0.865 0.443 0.500
23 B 0.873 0.028 0.500
24 B 0.969 0.303 0.500

For the uncorrected energy, the calculation gives -0.2880 hartree per atom. Its symmetry is No. 55. Its energy above the most stable polymorph in this dataset is 0 meV per atom. For the total magnetization, the calculation gives 18.8 μB per cell. The calculation puts the formation energy at -0.24 eV per atom.

(7)
# AcGa2Os2C

A relaxed structure of AcGa2Os2C (PBE-GGA, the Alexandria database).

Cell lengths 4.188, 4.188, 5.828 Å; angles 90.00, 90.00, 90.00 degrees
Fractional coordinates of all 6 atoms:
1 Ac 0.000 0.000 0.000
2 Ga 0.500 0.500 0.227
3 Ga 0.500 0.500 0.773
4 Os 0.000 0.500 0.500
5 Os 0.500 0.000 0.500
6 C 0.000 0.000 0.500

For the uncorrected energy, the calculation gives -0.2637 hartree per atom. Its symmetry is No. 123. For the total magnetization, the calculation gives 0.0 μB per cell. The calculation puts the formation energy at -0.20 eV per atom.

(8)
# CsMg2NbO

A relaxed structure of CsMg2NbO (PBE-GGA, the Alexandria database).

Cell lengths 6.122, 6.122, 3.928 Å; angles 90.00, 90.00, 90.00 degrees
Fractional coordinates of all 5 atoms:
1 Cs 0.000 0.000 0.000
2 Mg 0.000 0.500 0.500
3 Mg 0.500 0.000 0.500
4 Nb 0.500 0.500 0.000
5 O 0.500 0.500 0.500

For the uncorrected energy, the calculation gives -0.1378 hartree per atom. For the raw formation energy, the calculation gives 6.3 kJ/mol of atoms. Its symmetry is No. 123. For the total magnetization, the calculation gives 2.1 μB per cell.

(9)
# Rb3LiZn2H8

A relaxed structure of Rb3LiZn2H8 (PBE-GGA, the Alexandria database).

Cell lengths 5.784, 5.784, 7.734 Å; angles 90.00, 90.00, 120.00 degrees
Fractional coordinates of all 14 atoms:
1 Rb 0.000 0.000 0.000
2 Rb 0.333 0.667 0.685
3 Rb 0.667 0.333 0.315
4 Li 0.000 0.000 0.500
5 Zn 0.333 0.667 0.256
6 Zn 0.667 0.333 0.744
7 H 0.176 0.353 0.337
8 H 0.176 0.824 0.337
9 H 0.333 0.667 0.045
10 H 0.353 0.176 0.663
11 H 0.647 0.824 0.337
12 H 0.667 0.333 0.955
13 H 0.824 0.176 0.663
14 H 0.824 0.647 0.663

For the uncorrected energy, the calculation gives -0.0981 hartree per atom. Its symmetry is No. 164. For the total magnetization, the calculation gives 0.0 μB per cell.

(10)
# Cd2BiW

A relaxed structure of Cd2BiW (PBE-GGA, the Alexandria database).

Cell lengths 7.204, 7.204, 7.204 Å; angles 90.00, 90.00, 90.00 degrees
Fractional coordinates of all 16 atoms:
1 Cd 0.250 0.250 0.250
2 Cd 0.250 0.250 0.750
3 Cd 0.250 0.750 0.250
4 Cd 0.250 0.750 0.750
5 Cd 0.750 0.250 0.250
6 Cd 0.750 0.250 0.750
7 Cd 0.750 0.750 0.250
8 Cd 0.750 0.750 0.750
9 Bi 0.000 0.000 0.000
10 Bi 0.000 0.500 0.500
11 Bi 0.500 0.000 0.500
12 Bi 0.500 0.500 0.000
13 W 0.000 0.000 0.500
14 W 0.000 0.500 0.000
15 W 0.500 0.000 0.000
16 W 0.500 0.500 0.500

For the uncorrected energy, the calculation gives -0.1330 hartree per atom. Its symmetry is No. 225. Its energy above the most stable polymorph in this dataset is 51 meV per atom. For the total magnetization, the calculation gives 11.9 μB per cell. The calculation puts the formation energy at 1.05 eV per atom.

(11)
# DySc2InO

A relaxed structure of DySc2InO (PBE-GGA, the Alexandria database).

Cell lengths 4.506, 4.506, 4.729 Å; angles 90.00, 90.00, 90.00 degrees
Fractional coordinates of all 5 atoms:
1 Dy 0.000 0.000 0.000
2 Sc 0.000 0.500 0.500
3 Sc 0.500 0.000 0.500
4 In 0.500 0.500 0.000
5 O 0.000 0.000 0.500

For the uncorrected energy, the calculation gives -0.2364 hartree per atom. For the raw formation energy, the calculation gives -139.0 kJ/mol of atoms. Its symmetry is No. 123. For the total magnetization, the calculation gives 0.0 μB per cell.

(12)
# CeMgSi2

A relaxed structure of CeMgSi2 (PBE-GGA, the Alexandria database).

Cell lengths 3.504, 3.504, 6.445 Å; angles 90.00, 90.00, 90.00 degrees
Fractional coordinates of all 4 atoms:
1 Ce 0.000 0.000 0.000
2 Mg 0.000 0.000 0.500
3 Si 0.500 0.500 0.303
4 Si 0.500 0.500 0.697

For the uncorrected energy, the calculation gives -0.1773 hartree per atom. For the raw formation energy, the calculation gives -22.2 kJ/mol of atoms. Its symmetry is No. 123. Its energy above the most stable polymorph in this dataset is 300 meV per atom. For the total magnetization, the calculation gives 0.7 μB per cell.

Among the records above, which one has the lowest uncorrected energy? ErPuB4